Below is a geometry-optimized CeDySn2 structure, with properties calculated at the PBE-GGA level.

The calculated volume is 27.0 Å³ per atom. As for the energy of formation: -0.61 eV per atom.

Lattice parameters (Å, degrees): 4.928 4.928 4.452 90.00 90.00 90.00
Space group P4/mmm (No. 123)
One atom of each set of equivalent atoms:
Ce (0.000, 0.000, 0.000) [1 per cell]
Dy (0.500, 0.500, 0.000) [1 per cell]
Sn (0.000, 0.500, 0.500) [2 per cell]